Here is a geometry-optimized BaLiBr2 structure from the Alexandria database. Energies are from PBE-GGA. Values from VASP.

```
&SYSTEM
  ibrav = 0, nat = 8, ntyp = 3
/
ATOMIC_SPECIES
Ba 137.33 Ba.upf
Li 6.94 Li.upf
Br 79.90 Br.upf
ATOMIC_POSITIONS angstrom
Ba 0.0000 0.0000 0.0000
Ba 1.9992 4.1155 0.0000
Li 0.0000 0.0000 4.4492
Li 1.9992 4.1155 4.4492
Br 0.0000 4.1155 2.6625
Br 0.0000 4.1155 6.2360
Br 1.9992 0.0000 2.6625
Br 1.9992 0.0000 6.2360
CELL_PARAMETERS angstrom
3.9985 0.0000 0.0000
0.0000 8.2309 0.0000
0.0000 0.0000 8.8984
```



Here is a geometry-optimized BaLi2Br structure from the Alexandria database. Energies are from PBE-GGA. Values from VASP.

```
&SYSTEM
  ibrav = 0, nat = 8, ntyp = 3
/
ATOMIC_SPECIES
Ba 137.33 Ba.upf
Li 6.94 Li.upf
Br 79.90 Br.upf
ATOMIC_POSITIONS angstrom
Ba 0.0000 0.0000 0.0000
Ba 2.0491 3.2643 5.0258
Li 0.0000 0.0000 5.7622
Li 0.0000 3.2643 8.2645
Li 2.0491 0.0000 3.2387
Li 2.0491 3.2643 0.7364
Br 0.0000 3.2643 2.2518
Br 2.0491 0.0000 7.2777
CELL_PARAMETERS angstrom
4.0982 0.0000 0.0000
0.0000 6.5286 0.0000
0.0000 0.0000 10.0517
```



Here is a geometry-optimized BaLi2Br structure from the Alexandria database. Energies are from PBE-GGA. Values from VASP.

```
&SYSTEM
  ibrav = 0, nat = 16, ntyp = 3
/
ATOMIC_SPECIES
Ba 137.33 Ba.upf
Li 6.94 Li.upf
Br 79.90 Br.upf
ATOMIC_POSITIONS angstrom
Ba 0.0000 0.0000 0.0000
Ba 0.0000 4.5773 1.6366
Ba 4.5773 0.0000 4.9099
Ba 4.5773 4.5773 3.2733
Li 1.5672 2.2886 4.0916
Li 2.2886 6.1445 5.7283
Li 2.2886 7.5874 2.4550
Li 3.0101 2.2886 0.8183
Li 6.1445 6.8659 0.8183
Li 6.8659 1.5672 2.4550
Li 6.8659 3.0101 5.7283
Li 7.5874 6.8659 4.0916
Br 0.0000 0.0000 3.2733
Br 0.0000 4.5773 4.9099
Br 4.5773 0.0000 1.6366
Br 4.5773 4.5773 0.0000
CELL_PARAMETERS angstrom
9.1546 0.0000 0.0000
0.0000 9.1546 0.0000
0.0000 0.0000 6.5466
```



Here is a geometry-optimized BaLi2Br structure from the Alexandria database. Energies are from PBE-GGA. Values from VASP.

```
&SYSTEM
  ibrav = 0, nat = 8, ntyp = 3
/
ATOMIC_SPECIES
Ba 137.33 Ba.upf
Li 6.94 Li.upf
Br 79.90 Br.upf
ATOMIC_POSITIONS angstrom
Ba 0.0000 0.0000 0.0000
Ba 1.9692 2.6260 6.7571
Li 0.0000 2.6260 3.1765
Li 0.0000 2.6260 10.3377
Li 1.9692 0.0000 3.5806
Li 1.9692 0.0000 9.9336
Br 0.0000 0.0000 6.7571
Br 1.9692 2.6260 0.0000
CELL_PARAMETERS angstrom
3.9385 0.0000 0.0000
0.0000 5.2520 0.0000
0.0000 0.0000 13.5142
```



One value per record, in order, for E above lowest polymorph: 82; 114; 100; 50 meV per atom.
One value per record, in order, for size of the total moment: 0.58; 0.85; 0.99; 0.00 μB per formula unit.
One value per record, in order, for energy relative to the elements, uncorrected: -1.408; -0.525; -0.540; -0.589 eV per atom.